Record 1
Ca2Ta2CrO8: PBEsol geometry, SCAN.

Geometry as POSCAR:
```
Ca2Ta2CrO8
1.0
5.345 -0.031 0.025
-0.255 6.522 0.012
-0.207 -2.578 9.295
O Ca Ta Cr
16 4 4 2
Direct
0.903 0.764 0.855
0.406 0.572 0.894
0.838 0.542 0.369
0.970 0.225 0.870
0.516 0.739 0.631
0.594 0.428 0.106
0.981 0.146 0.369
0.670 0.139 0.625
0.162 0.458 0.631
0.428 0.009 0.859
0.330 0.861 0.375
0.097 0.236 0.145
0.572 0.991 0.141
0.484 0.261 0.369
0.030 0.775 0.130
0.019 0.854 0.631
0.254 0.121 0.588
0.746 0.879 0.412
0.247 0.546 0.415
0.753 0.454 0.585
0.242 0.000 0.231
0.758 0.000 0.769
0.247 0.720 0.773
0.753 0.280 0.227
0.734 0.657 0.010
0.266 0.343 0.990
```

Properties
Raw formation energy: -3747 kJ/mol of formula units



Record 2
Ca2TaCrO6: PBEsol geometry, SCAN.

Geometry as POSCAR:
```
Ca2TaCrO6
1.0
5.381 0.000 -0.006
0.000 5.494 0.000
-0.026 0.000 7.666
O Ca Ta Cr
12 4 2 2
Direct
0.416 0.977 0.249
0.084 0.477 0.251
0.792 0.792 0.045
0.795 0.791 0.458
0.708 0.292 0.455
0.916 0.523 0.749
0.292 0.708 0.545
0.295 0.709 0.958
0.208 0.208 0.955
0.205 0.209 0.542
0.584 0.023 0.751
0.705 0.291 0.042
0.511 0.546 0.248
0.011 0.954 0.748
0.989 0.046 0.252
0.489 0.454 0.752
0.000 0.500 0.000
0.500 0.000 0.500
0.500 0.000 0.000
0.000 0.500 0.500
```

Properties
Raw formation energy: -3071 kJ/mol of formula units



Record 3
Ca2TaCrO6: PBEsol geometry, SCAN.

Geometry as POSCAR:
```
Ca2TaCrO6
1.0
5.366 0.001 0.000
-0.018 5.502 0.000
0.000 0.000 7.721
O Ca Ta Cr
12 4 2 2
Direct
0.794 0.210 0.455
0.794 0.210 0.045
0.913 0.475 0.750
0.206 0.790 0.955
0.591 0.972 0.750
0.293 0.294 0.957
0.409 0.028 0.250
0.707 0.706 0.043
0.206 0.790 0.545
0.707 0.706 0.457
0.293 0.294 0.543
0.087 0.525 0.250
0.511 0.437 0.250
0.489 0.563 0.750
0.009 0.037 0.750
0.991 0.963 0.250
0.000 0.500 0.000
0.000 0.500 0.500
0.500 0.000 0.500
0.500 0.000 0.000
```

Properties
Raw formation energy: -3043 kJ/mol of formula units



Number 1: total DFT energy (no corrections) -19.9660 eV/atom. Number 2: total DFT energy (no corrections) -17.3508 eV/atom. Number 3: total DFT energy (no corrections) -17.3217 eV/atom.